RbDy4YS8 after structural relaxation. Source: the Alexandria database, functional PBE.

Cell lengths 8.281, 8.281, 8.281 Å; angles 59.90, 59.90, 59.90 degrees
Atoms (fractional coordinates):
Rb1 0.000 0.000 0.000
Dy1 0.370 0.370 0.888
Dy2 0.370 0.888 0.370
Dy3 0.749 0.749 0.749
Dy4 0.888 0.370 0.370
Y1 0.370 0.370 0.370
S1 0.143 0.143 0.568
S2 0.143 0.568 0.143
S3 0.144 0.144 0.144
S4 0.146 0.617 0.617
S5 0.568 0.143 0.143
S6 0.617 0.146 0.617
S7 0.617 0.617 0.146
S8 0.617 0.617 0.617

D(E_F) (states/eV per cell): 0.0
Energy relative to the elements, uncorrected (eV/f.u.): -26.7
E_tot (eV for the cell shown): -85.5
Space-group type: R3m